The following is a DFT calculation (PBE+U) of a relaxed structure of In2FeBiO6.

```
In2FeBiO6
1.0
-5.027 0.666 -2.357
-1.187 -2.563 -4.825
-3.766 -4.561 0.110
In O Fe Bi
2 6 1 1
Cartesian
-3.630 -4.245 -0.091
-4.899 -3.018 -3.670
-4.488 -1.285 -2.473
-3.059 -3.338 -4.727
-6.218 -2.269 -5.189
-6.557 -3.124 -2.099
-3.779 -4.422 -2.254
-5.843 -4.943 -4.468
-7.151 -4.069 -5.798
-2.231 -1.002 -2.159
```

## Properties
**Space-group type**: R3, No. 146
**Magnetic moment**: 0.50 μB/atom
**N(E_F)**: 0.0 states/eV/cell
**Total energy**: -58.72 eV/cell